TmMgTlS3: relaxed, GGA-PBE.

Geometry as POSCAR:
```
TmMgTlS3
1.0
14.461 0.000 0.000
0.000 4.042 0.000
0.000 0.000 10.875
Mg S Tl Tm
4 12 4 4
Cartesian
0.372 3.032 1.082
7.603 3.032 4.356
6.858 1.011 6.519
14.089 1.011 9.793
5.914 3.032 0.846
13.478 1.011 1.315
9.172 3.032 2.527
1.941 3.032 2.911
6.247 1.011 4.123
13.145 3.032 4.591
1.317 1.011 6.283
8.214 3.032 6.752
12.520 1.011 7.964
5.289 1.011 8.348
0.984 3.032 9.560
8.548 1.011 10.029
3.633 1.011 0.444
10.864 1.011 4.993
3.598 3.032 5.882
10.829 3.032 10.431
7.601 1.011 1.629
0.371 1.011 3.809
14.091 3.032 7.066
6.860 3.032 9.246
```

symmetry	Pnma (62)
energy above the most stable polymorph in this dataset	0	meV per atom
E_tot	-4.86	eV/atom

***

LuBeGe: relaxed, GGA-PBE.

Geometry as POSCAR:
```
LuBeGe
1.0
-0.090 -3.425 -2.405
-0.672 -3.753 1.728
-3.619 -1.994 -0.668
Be Ge Lu
1 1 1
Cartesian
0.000 0.000 0.000
-1.095 -2.293 -0.336
-3.285 -6.880 -1.009
```

symmetry	F-43m (216)
E_tot	-4.56	eV/atom

***

MgTaCdIr: relaxed, GGA-PBE.

Geometry as POSCAR:
```
MgTaCdIr
1.0
0.000 3.247 3.247
3.247 0.000 3.247
3.247 3.247 0.000
Cd Ir Mg Ta
1 1 1 1
Cartesian
1.623 1.623 1.623
0.000 0.000 0.000
4.870 4.870 4.870
3.247 3.247 3.247
```

symmetry	F-43m (216)
energy above the most stable polymorph in this dataset	476	meV per atom
E_tot	-5.44	eV/atom

***

Pd6WAu: relaxed, GGA-PBE.

Geometry as POSCAR:
```
Pd6WAu
1.0
-1.326 3.593 -1.012
0.845 -0.757 -3.795
-7.259 -2.968 -1.024
Au Pd W
1 6 1
Cartesian
0.000 0.000 0.000
-0.241 1.418 -2.404
-2.580 1.013 -0.776
-1.494 -1.162 -2.168
-3.870 -0.066 -2.916
-6.005 -0.388 -1.260
-4.920 -2.563 -2.651
-3.630 -1.484 -0.512
```

symmetry	P4/mmm (123)
formation energy from the elements	-128	meV per atom
E_tot	-6.04	eV/atom

***

Question: What is the E_tot in the third record?
Answer: -5.44 eV/atom